First-principles (PBE) data for a geometry-optimized PmErPdRh structure, as listed in the Alexandria database.

```
PmErPdRh
1.0
-4.606 -1.723 -0.551
-0.806 -4.877 -0.236
-2.239 -2.322 3.753
Pm Rh Pd Er
1 1 1 1
Direct
0.250 0.250 0.250
0.500 0.500 0.500
0.000 0.000 0.000
0.750 0.750 0.750
```

Output
E: -25.13 eV/f.u.
M_tot: 0.00 μB/f.u.
DOS(E_F): 2.411 states/eV/f.u.
Relative energy among the computed polymorphs: 18 meV per atom
SG: F-43m